! Ni2PdRhSe6 (PBE, optimized geometry); values from VASP
! * space-group type: C2/c (15)
! * calculated volume: 400.8 Å³ per cell
! * total DFT energy (no corrections): -95.4 eV per cell
! * formation energy without anion corrections: -268 meV/atom
! * calculated density: 6.6 g/cm3
&SYSTEM
  ibrav = 0, nat = 20, ntyp = 4
/
ATOMIC_SPECIES
Ni 58.69 Ni.upf
Pd 106.42 Pd.upf
Rh 102.91 Rh.upf
Se 78.96 Se.upf
ATOMIC_POSITIONS angstrom
Ni 1.5741 0.9375 2.0035
Ni 0.7659 -0.9375 5.1016
Ni 9.1876 0.9375 1.0945
Ni 8.3794 -0.9375 4.1926
Pd 5.3809 2.8682 1.5490
Pd 4.5727 -2.8682 4.6471
Rh 4.5727 1.0254 4.6471
Rh 5.3809 -1.0254 1.5490
Se 0.6312 1.0809 4.0700
Se 2.8438 2.6553 5.2706
Se 1.4394 -1.0809 0.9720
Se 3.8945 0.9131 2.2481
Se 6.3015 2.6553 4.0236
Se 3.0862 -0.9131 5.3462
Se 6.8673 0.9131 0.8500
Se 3.6520 -2.6553 2.1725
Se 6.0591 -0.9131 3.9480
Se 8.5141 1.0809 5.2241
Se 7.1098 -2.6553 0.9255
Se 9.3224 -1.0809 2.1261
CELL_PARAMETERS angstrom
5.7850 -5.5905 0.0000
5.7850 5.5905 0.0000
-1.6164 0.0000 6.1961

=====

! InP2IO (PBE, optimized geometry); values from VASP
! * space-group type: P4/mmm (123)
! * calculated volume: 109.7 Å³ per cell
! * total DFT energy (no corrections): -16.4 eV per cell
! * formation energy without anion corrections: 732 meV/atom
! * polymorph energy (0 for the lowest one): 132 meV per atom
! * calculated density: 4.8 g/cm3
&SYSTEM
  ibrav = 0, nat = 5, ntyp = 4
/
ATOMIC_SPECIES
In 114.82 In.upf
P 30.97 P.upf
I 126.90 I.upf
O 16.00 O.upf
ATOMIC_POSITIONS angstrom
In 0.0000 0.0000 0.0000
P 0.0000 2.6315 1.9802
P 2.6315 0.0000 1.9802
I 2.6315 2.6315 1.9802
O 2.6315 2.6315 0.0000
CELL_PARAMETERS angstrom
5.2629 0.0000 0.0000
0.0000 5.2629 0.0000
0.0000 0.0000 3.9604

=====

! SrNi3W (PBE, optimized geometry); values from VASP
! * space-group type: Pm-3m (221)
! * calculated volume: 101.5 Å³ per cell
! * total DFT energy (no corrections): -28.6 eV per cell
! * energy of formation from the pure elements: 0.666 eV/atom
! * polymorph energy (0 for the lowest one): 0 meV per atom
! * calculated density: 7.3 g/cm3
&SYSTEM
  ibrav = 0, nat = 5, ntyp = 3
/
ATOMIC_SPECIES
Sr 87.62 Sr.upf
Ni 58.69 Ni.upf
W 183.84 W.upf
ATOMIC_POSITIONS angstrom
Sr 0.0000 0.0000 0.0000
Ni 0.0000 2.3322 2.3322
Ni 2.3322 0.0000 2.3322
Ni 2.3322 2.3322 0.0000
W 2.3322 2.3322 2.3322
CELL_PARAMETERS angstrom
4.6644 0.0000 0.0000
0.0000 4.6644 0.0000
0.0000 0.0000 4.6644

=====

no.,Fermi-level density of states (states/eV per cell)
1,12.22
2,2.35
3,5.96